Record 1
ScCu2 after structural relaxation. Source: Alexandria via LeMat-Bulk, functional PBEsol.

```
6
Lattice="1.6856 -6.1403 0.0000 1.6856 6.1403 0.0000 0.0000 0.0000 4.2552" Properties=species:S:1:pos:R:3 pbc="T T T"
Sc 1.6856 4.9915 3.1914
Sc 1.6856 -4.9915 1.0638
Cu 1.6856 3.2499 1.0638
Cu 1.6856 1.0115 3.1914
Cu 1.6856 -1.0115 1.0638
Cu 1.6856 -3.2499 3.1914
```

Calculated formation energy, eV/f.u.: -0.47

Record 2
EuMoO4 after structural relaxation. Source: Alexandria via LeMat-Bulk, functional PBEsol.

```
12
Lattice="-2.6472 2.6472 5.7653 2.6472 -2.6472 5.7653 2.6472 2.6472 -5.7653" Properties=species:S:1:pos:R:3 pbc="T T T"
Eu 0.0000 1.3236 1.4413
Eu 2.6472 1.3236 4.3239
Mo 2.6472 1.3236 -1.4413
Mo 0.0000 1.3236 7.2066
O 3.9292 0.5268 -0.4744
O 3.4441 -0.0417 2.4083
O 0.7968 -0.0417 3.3570
O 1.3653 2.1204 -0.4744
O 1.2819 0.5268 6.2396
O 1.8504 2.6889 2.4083
O -0.7968 2.6889 3.3570
O -1.2819 2.1204 6.2396
```

E_form (uncorrected), meV/atom: -2582.9

Record 3
CaAlCu2 after structural relaxation. Source: Alexandria via LeMat-Bulk, functional PBEsol.

```
4
Lattice="-1.5386 2.3417 4.6660 1.5386 -2.3417 4.6660 1.5386 2.3417 -4.6660" Properties=species:S:1:pos:R:3 pbc="T T T"
Ca 0.0000 0.0000 0.0000
Al 0.0000 2.3417 1.9787
Cu 1.5386 0.0000 2.6119
Cu 0.0000 0.0000 4.5817
```

Calculated formation energy, eV/f.u.: 0.19

| no. | DOS(E_F) (states/eV/atom) | magnetization (μB per formula unit) |
| --- | --- | --- |
| 1 | 0.50 | 0.000 |
| 2 | 2.75 | 7.007 |
| 3 | 0.51 | 0.000 |